A) Below is a relaxed structure of ReAg2Mo, with properties calculated at the PBE level.

Computed properties:
**Fermi-level density of states**: 4.7 states/eV/cell

Lattice parameters (Å, degrees): 3.1697 4.2779 9.6809 90.00 90.00 90.00
With the nearest neighbours (Å) after each atom.
Space group Cmmm (No. 65)
Asymmetric unit:
1 Re 0.0000 0.0000 0.0000 (multiplicity 2)  4 Re 2.66, 4 Ag 2.89
2 Ag 0.0000 0.5000 0.2491 (multiplicity 4)  4 Ag 2.66, 2 Re 2.89, 2 Mo 2.90
3 Mo 0.0000 0.0000 0.5000 (multiplicity 2)  4 Mo 2.66, 4 Ag 2.90

---

B) Below is a relaxed structure of ReAg2Mo, with properties calculated at the PBE level.

Computed properties:
**Fermi-level density of states**: 4.2 states/eV/cell

Lattice parameters (Å, degrees): 3.0825 4.5266 9.5535 90.00 90.00 90.00
With the nearest neighbours (Å) after each atom.
Space group Cmm2 (No. 35)
Asymmetric unit:
1 Re 0.0000 0.0000 0.0000 (multiplicity 2)  2 Mo 2.62, 4 Re 2.74, 2 Ag 2.92
2 Ag 0.0000 0.0000 0.5180 (multiplicity 2)  6 Ag 2.74-2.91, 2 Mo 2.93
3 Ag 0.0000 0.5000 0.2598 (multiplicity 2)  6 Ag 2.74-2.91, 2 Re 2.92
4 Mo 0.0000 0.5000 0.7783 (multiplicity 2)  2 Re 2.62, 4 Mo 2.74, 2 Ag 2.93

---

C) Below is a relaxed structure of ReAg2Mo, with properties calculated at the PBE level.

Computed properties:
**Fermi-level density of states**: 4.1 states/eV/cell

Lattice parameters (Å, degrees): 3.2289 4.7522 8.9635 90.00 90.00 90.00
With the nearest neighbours (Å) after each atom.
Space group Imm2 (No. 44)
Asymmetric unit:
1 Re 0.0000 0.0000 0.0000 (multiplicity 2)  2 Mo 2.40
2 Ag 0.0000 0.0000 0.5281 (multiplicity 2)  4 Ag 2.85-3.19, 4 Re 2.88, 4 Mo 2.93-3.13
3 Ag 0.0000 0.5000 0.7657 (multiplicity 2)  4 Ag 2.85-3.19, 4 Re 2.88-3.17, 4 Mo 2.89
4 Mo 0.0000 0.5000 0.3011 (multiplicity 2)  2 Re 2.40

---

B) has the most favorable energy; the next structure is 0.290 eV/atom above.